[1]
Here is TcTe2Ru after structural relaxation from Alexandria. Energies are from PBE.

Unit cell a=3.226 b=3.226 c=8.579 alpha=90.00 beta=90.00 gamma=118.77
Positions (direct):
1 Tc 0.500 0.500 0.750
2 Te 0.000 0.000 0.001
3 Te 0.000 0.000 0.499
4 Ru 0.500 0.500 0.250

magnetization = 0.01 μB/f.u.
raw formation energy = 820.3 meV/atom
density = 9.6 g cm⁻³
total DFT energy (no corrections) = -5.66 eV per atom
polymorph energy (0 for the lowest one) = 313.0 kJ/mol of formula units

***

[2]
Here is Tc2TeRu after structural relaxation from Alexandria. Energies are from PBE.

Unit cell a=8.710 b=8.710 c=8.710 alpha=19.62 beta=19.62 gamma=19.62
Positions (direct):
1 Tc 0.998 0.998 0.998
2 Tc 0.502 0.502 0.502
3 Ru 0.250 0.250 0.250
4 Te 0.750 0.750 0.750

magnetization = 0.00 μB/f.u.
raw formation energy = 498.0 meV/atom
density = 10.8 g cm⁻³
total DFT energy (no corrections) = -7.79 eV per atom

***

[3]
Here is TcTe2Ru after structural relaxation from Alexandria. Energies are from PBE.

Unit cell a=5.928 b=5.928 c=7.234 alpha=65.81 beta=65.81 gamma=90.00
Positions (direct):
1 Te 0.875 0.878 0.750
2 Te 0.375 0.372 0.750
3 Te 0.628 0.125 0.250
4 Te 0.122 0.625 0.250
5 Ru 0.000 0.000 0.000
6 Ru 0.750 0.250 0.500
7 Tc 0.250 0.750 0.500
8 Tc 0.500 0.500 0.000

magnetization = 0.00 μB/f.u.
raw formation energy = 440.6 meV/atom
density = 7.3 g cm⁻³
total DFT energy (no corrections) = -6.04 eV per atom
polymorph energy (0 for the lowest one) = 166.5 kJ/mol of formula units

***

[4]
Here is Tc2TeRu after structural relaxation from Alexandria. Energies are from PBE.

Unit cell a=3.083 b=4.479 c=4.664 alpha=90.00 beta=90.00 gamma=90.00
Positions (direct):
1 Ru 0.000 0.500 0.500
2 Tc 0.500 0.500 0.000
3 Tc 0.000 0.000 0.000
4 Te 0.500 0.000 0.500

magnetization = 0.00 μB/f.u.
raw formation energy = 487.5 meV/atom
density = 10.9 g cm⁻³
total DFT energy (no corrections) = -7.80 eV per atom

***

[5]
Here is TcTeRu after structural relaxation from Alexandria. Energies are from PBE.

Unit cell a=3.057 b=3.057 c=12.625 alpha=90.00 beta=90.00 gamma=120.00
Positions (direct):
1 Ru 0.111 0.222 0.842
2 Ru 0.111 0.222 0.158
3 Tc 0.445 0.889 0.500
4 Tc 0.444 0.889 0.000
5 Te 0.778 0.556 0.334
6 Te 0.778 0.556 0.666

magnetization = 0.00 μB/f.u.
raw formation energy = 424.0 meV/atom
density = 10.6 g cm⁻³
total DFT energy (no corrections) = -7.17 eV per atom
polymorph energy (0 for the lowest one) = 28.9 kJ/mol of formula units

***

[6]
Here is TcTe2Ru2 after structural relaxation from Alexandria. Energies are from PBE.

Unit cell a=7.460 b=7.460 c=3.179 alpha=90.00 beta=90.00 gamma=90.00
Positions (direct):
1 Te 0.340 0.840 0.000
2 Te 0.660 0.160 0.000
3 Te 0.840 0.660 0.000
4 Te 0.160 0.340 0.000
5 Ru 0.141 0.641 0.500
6 Ru 0.859 0.359 0.500
7 Ru 0.359 0.141 0.500
8 Ru 0.641 0.859 0.500
9 Tc 0.500 0.500 0.000
10 Tc 0.000 0.000 0.000

magnetization = 0.00 μB/f.u.
raw formation energy = 558.2 meV/atom
density = 10.4 g cm⁻³
total DFT energy (no corrections) = -6.48 eV per atom
polymorph energy (0 for the lowest one) = 0.0 kJ/mol of formula units

***

[7]
Here is TcTeRu4 after structural relaxation from Alexandria. Energies are from PBE.

Unit cell a=5.153 b=5.153 c=5.153 alpha=60.00 beta=60.00 gamma=60.00
Positions (direct):
1 Ru 0.376 0.376 0.872
2 Ru 0.872 0.376 0.376
3 Ru 0.376 0.376 0.376
4 Ru 0.376 0.872 0.376
5 Te 0.000 0.000 0.000
6 Tc 0.750 0.750 0.750

magnetization = 0.00 μB/f.u.
raw formation energy = 750.9 meV/atom
density = 10.8 g cm⁻³
total DFT energy (no corrections) = -7.68 eV per atom

***

[8]
Here is TcTe2Ru after structural relaxation from Alexandria. Energies are from PBE.

Unit cell a=5.572 b=5.572 c=5.572 alpha=138.69 beta=138.69 gamma=59.84
Positions (direct):
1 Ru 0.500 0.500 0.000
2 Te 0.000 0.000 0.000
3 Te 0.250 0.750 0.500
4 Tc 0.750 0.250 0.500

magnetization = 0.00 μB/f.u.
raw formation energy = 640.6 meV/atom
density = 10.1 g cm⁻³
total DFT energy (no corrections) = -5.84 eV per atom
polymorph energy (0 for the lowest one) = 243.7 kJ/mol of formula units

***

[9]
Here is TcTe2Ru after structural relaxation from Alexandria. Energies are from PBE.

Unit cell a=4.459 b=4.459 c=5.636 alpha=77.79 beta=77.79 gamma=43.05
Positions (direct):
1 Tc 0.250 0.250 0.250
2 Te 0.503 0.503 0.498
3 Te 0.997 0.997 0.002
4 Ru 0.750 0.750 0.750

magnetization = 0.00 μB/f.u.
raw formation energy = 325.5 meV/atom
density = 10.1 g cm⁻³
total DFT energy (no corrections) = -6.16 eV per atom
polymorph energy (0 for the lowest one) = 122.1 kJ/mol of formula units

***

[10]
Here is TcTeRu after structural relaxation from Alexandria. Energies are from PBE.

Unit cell a=5.801 b=5.801 c=3.073 alpha=74.64 beta=74.64 gamma=30.72
Positions (direct):
1 Te 0.669 0.669 0.331
2 Tc 0.343 0.343 0.657
3 Ru 0.988 0.988 0.012

magnetization = 0.00 μB/f.u.
raw formation energy = 397.7 meV/atom
density = 10.7 g cm⁻³
total DFT energy (no corrections) = -7.20 eV per atom
polymorph energy (0 for the lowest one) = 21.2 kJ/mol of formula units

***

[11]
Here is Tc2TeRu after structural relaxation from Alexandria. Energies are from PBE.

Unit cell a=4.845 b=4.845 c=4.845 alpha=131.33 beta=131.33 gamma=71.28
Positions (direct):
1 Tc 0.000 0.000 0.000
2 Tc 0.250 0.750 0.500
3 Te 0.500 0.500 0.000
4 Ru 0.750 0.250 0.500

magnetization = 0.00 μB/f.u.
raw formation energy = 361.1 meV/atom
density = 11.2 g cm⁻³
total DFT energy (no corrections) = -7.93 eV per atom

***

[12]
Here is TcTe2Ru after structural relaxation from Alexandria. Energies are from PBE.

Unit cell a=4.039 b=4.036 c=6.544 alpha=90.02 beta=90.00 gamma=90.00
Last column: magnetic moment on the atom in μB.
Positions (direct):
1 Ru 0.000 0.375 0.625  0.07
2 Tc 0.500 0.875 0.625  0.15
3 Te 0.500 0.375 0.369  -0.01
4 Te 0.000 0.875 0.881  -0.01

magnetization = 0.22 μB/f.u.
raw formation energy = 9.2 meV/atom
density = 7.1 g cm⁻³
total DFT energy (no corrections) = -6.47 eV per atom
polymorph energy (0 for the lowest one) = 0.0 kJ/mol of formula units

***

Question: Which value of magnetization does entry 5 give?
Answer: 0.00 μB/f.u.

***

Question: What is the formula in the first record?
Answer: TcTe2Ru

***

Please write out number 2 again, unchanged.
Here is Tc2TeRu after structural relaxation from Alexandria. Energies are from PBE.

Unit cell a=8.710 b=8.710 c=8.710 alpha=19.62 beta=19.62 gamma=19.62
Positions (direct):
1 Tc 0.998 0.998 0.998
2 Tc 0.502 0.502 0.502
3 Ru 0.250 0.250 0.250
4 Te 0.750 0.750 0.750

magnetization = 0.00 μB/f.u.
raw formation energy = 498.0 meV/atom
density = 10.8 g cm⁻³
total DFT energy (no corrections) = -7.79 eV per atom

***

Question: Number 8 is which compound?
Answer: TcTe2Ru